AlZnAs2, relaxed, DFT GGA-PBE; formation enthalpy at 0 K = 0.00 eV/atom; space group = Cm, No. 8; total energy = -3.583 eV/atom; DOS at the Fermi energy = 1.007 states/eV/f.u.
1.0
5.761 -1.833 0.000
5.761 1.833 0.000
-0.976 0.000 3.634
Al Zn As
1 1 2
Cartesian
0.000 0.000 0.000 Al
2.915 0.000 1.650 Zn
5.639 0.000 1.931 As
7.947 0.000 3.425 As

=====

Al2Zn2As, relaxed, DFT GGA-PBE; formation enthalpy at 0 K = 0.17 eV/atom; space group = P4/mbm, No. 127; total energy = -2.766 eV/atom; DOS at the Fermi energy = 2.277 states/eV/f.u.
1.0
6.809 0.000 0.000
0.000 6.809 0.000
0.000 0.000 3.967
Al Zn As
4 4 2
Cartesian
0.981 2.424 0.000 Al
2.424 5.828 0.000 Al
4.385 0.981 0.000 Al
5.828 4.385 0.000 Al
1.073 4.477 1.983 Zn
2.332 1.073 1.983 Zn
4.477 5.736 1.983 Zn
5.736 2.332 1.983 Zn
0.000 0.000 0.000 As
3.405 3.405 0.000 As